Entry 1:
First-principles (GGA-PBE) data for ZnGaAs3 after structural relaxation, as listed in Alexandria via LeMat-Bulk.

The value obtained for the total energy is -2.993 eV/atom. As for the space group: Pm-3m (221).

a b c (Å): 4.9055 4.9055 4.9055
angles (deg): 90.00 90.00 90.00
Last column: nearest neighbours and their distance in Å.
Positions (direct):
1 As 0.0000 0.5000 0.0000  2 Zn 2.45
2 As 0.0000 0.0000 0.5000  2 Zn 2.45
3 As 0.5000 0.0000 0.0000  2 Zn 2.45
4 Zn 0.0000 0.0000 0.0000  6 As 2.45
5 Ga 0.5000 0.5000 0.5000  12 As 3.47



Entry 2:
First-principles (GGA-PBE) data for MnZnIN2 after structural relaxation, as listed in Alexandria via LeMat-Bulk.

The value obtained for the total energy is -4.966 eV/atom. As for the space group: P4/mmm (123). As for the energy relative to the elements, uncorrected: 763 meV per atom.

a b c (Å): 3.7287 3.7287 5.6148
angles (deg): 90.00 90.00 90.00
Last column: nearest neighbours and their distance in Å.
Positions (direct):
1 I 0.0000 0.0000 0.5000  4 Zn 2.64, 2 Mn 2.81
2 Zn 0.5000 0.5000 0.5000  4 I 2.64
3 Mn 0.0000 0.0000 0.0000  4 N 1.86
4 N 0.0000 0.5000 0.0000  2 Mn 1.86
5 N 0.5000 0.0000 0.0000  2 Mn 1.86



Entry 3:
First-principles (GGA-PBE) data for PrNiC after structural relaxation, as listed in Alexandria via LeMat-Bulk.

The value obtained for the total energy is -6.501 eV/atom. As for the space group: I4/mmm (139).

a b c (Å): 3.8671 3.8671 7.4418
angles (deg): 105.06 105.06 90.00
Last column: nearest neighbours and their distance in Å.
Positions (direct):
1 C 0.0477 0.0477 0.0954  1 C 1.32
2 C 0.9523 0.9523 0.9046  1 C 1.32
3 Pr 0.6157 0.6157 0.2313  5 Ni 2.77-2.89, 4 C 2.89
4 Pr 0.3843 0.3843 0.7687  5 Ni 2.77-2.89, 4 C 2.89
5 Ni 0.8160 0.8160 0.6319  1 C 1.89
6 Ni 0.1840 0.1840 0.3681  1 C 1.89